BiXeF9: relaxed, GGA-PBE.

Calculated total energy   -33.99 eV/f.u.
ρ   4.257 g/cm³
Calculated volume   398.87 Å³ per cell
Total magnetization   0.00 μB/atom
SG   P-1 (2)
Formation energy without anion corrections   -1.2030 eV per atom

a b c (Å): 5.975 8.050 8.828
angles (deg): 102.23 105.98 87.85
Sites, in units of the cell vectors:
F: 0.985 0.189 0.628
F: 0.388 0.851 0.063
F: 0.254 0.460 0.480
F: 0.015 0.811 0.372
F: 0.441 0.137 0.605
F: 0.088 0.535 0.836
F: 0.859 0.798 0.011
F: 0.499 0.200 0.285
F: 0.912 0.465 0.164
F: 0.501 0.800 0.715
F: 0.141 0.202 0.989
F: 0.387 0.510 0.179
F: 0.018 0.144 0.258
F: 0.746 0.540 0.520
F: 0.559 0.863 0.395
F: 0.612 0.149 0.937
F: 0.982 0.856 0.742
F: 0.613 0.490 0.821
Xe: 0.296 0.171 0.786
Xe: 0.704 0.829 0.214
Bi: 0.791 0.657 0.752
Bi: 0.209 0.343 0.248

Y2BiF: relaxed, GGA-PBE.

Calculated total energy   -24.94 eV/f.u.
ρ   6.815 g/cm³
Calculated volume   197.75 Å³ per cell
Total magnetization   0.45 μB/atom
SG   I-42d (122)
Formation energy without anion corrections   -1.5657 eV per atom

a b c (Å): 7.450 7.450 6.360
angles (deg): 54.15 54.15 90.00
Sites, in units of the cell vectors:
Y: 0.534 0.125 0.250
Y: 0.216 0.625 0.250
Y: 0.375 0.466 0.750
Y: 0.875 0.784 0.750
F: 0.500 0.500 0.000
F: 0.250 0.750 0.500
Bi: 0.000 0.000 0.000
Bi: 0.750 0.250 0.500